DFT (PBE with a Hubbard U) results for KW3O9 after structural relaxation.

Calculated values
total DFT energy (no corrections): -7.23 eV/atom
excess energy over the best structure of this formula in the dataset: 0.0 kJ/mol of atoms

Lattice parameters (Å, degrees): 7.5469 7.5469 7.7632 90.04 90.04 120.55
Element x y z (fractional)
K  0.0445  0.9555  0.5000
K  0.9555  0.0445  0.0000
W  0.0012  0.5009  0.2505
W  0.0010  0.5011  0.7505
W  0.5011  0.0010  0.2505
W  0.5009  0.0012  0.7505
W  0.5013  0.5011  0.2501
W  0.5011  0.5013  0.7501
O  0.0287  0.5341  0.4938
O  0.2112  0.4216  0.2442
O  0.2120  0.7887  0.7769
O  0.2137  0.7902  0.2242
O  0.2154  0.4196  0.7577
O  0.4196  0.2154  0.2577
O  0.4216  0.2112  0.7442
O  0.4682  0.9737  0.5072
O  0.4959  0.5067  0.5004
O  0.5067  0.4959  0.0004
O  0.5341  0.0287  0.9938
O  0.5807  0.7913  0.7567
O  0.5829  0.7869  0.2433
O  0.7869  0.5829  0.7433
O  0.7887  0.2120  0.2769
O  0.7902  0.2137  0.7242
O  0.7913  0.5807  0.2567
O  0.9737  0.4682  0.0072